No. 1
# Sr2Ni17

A relaxed structure of Sr2Ni17 (PBE, Alexandria).

Output
Crystal system: trigonal
DOS at the Fermi energy, states/eV/atom: 1.550
Formation enthalpy at 0 K, eV/atom: 0.004

a b c (Å): 8.4502 8.4502 12.1776
angles (deg): 90.00 90.00 120.00
Space group R-3m (No. 166, hexagonal axes)
Asymmetric unit:
Sr 0.0000 0.0000 0.1555 [6 per cell]
Ni 0.0000 0.0000 0.4027 [6 per cell]
Ni 0.0000 0.2847 0.5000 [18 per cell]
Ni 0.0000 0.5000 0.0000 [9 per cell]
Ni 0.0083 0.5042 0.3444 [18 per cell]

***

No. 2
# SrNi

A relaxed structure of SrNi (PBE, Alexandria).

Output
Crystal system: tetragonal
DOS at the Fermi energy, states/eV/atom: 0.702
Formation enthalpy at 0 K, eV/atom: 0.196

a b c (Å): 11.009 11.009 4.022
angles (deg): 90.00 90.00 90.00
Space group I4/m (No. 87)
Asymmetric unit:
Sr 0.094 0.236 0.000 [8 per cell]
Ni 0.041 0.407 0.500 [8 per cell]

***

No. 3
# SrNi2

A relaxed structure of SrNi2 (PBE, Alexandria).

Output
Crystal system: orthorhombic
DOS at the Fermi energy, states/eV/atom: 0.889
Formation enthalpy at 0 K, eV/atom: 0.026

a b c (Å): 4.169 10.403 5.082
angles (deg): 90.00 90.00 90.00
Space group Cmcm (No. 63)
Asymmetric unit:
Sr 0.000 0.215 0.250 [4 per cell]
Ni 0.000 0.046 0.750 [4 per cell]
Ni 0.000 0.500 0.000 [4 per cell]

***

No. 4
# SrNi

A relaxed structure of SrNi (PBE, Alexandria).

Output
Crystal system: orthorhombic
DOS at the Fermi energy, states/eV/atom: 2.110
Formation enthalpy at 0 K, eV/atom: 0.346

a b c (Å): 4.089 4.437 6.034
angles (deg): 90.00 90.00 90.00
Space group Pmmn (No. 59, origin choice 2)
Asymmetric unit:
Sr 0.250 0.250 0.240 [2 per cell]
Ni 0.250 0.250 0.733 [2 per cell]

***

No. 5
# SrNi3

A relaxed structure of SrNi3 (PBE, Alexandria).

Output
Crystal system: monoclinic
DOS at the Fermi energy, states/eV/atom: 1.440
Formation enthalpy at 0 K, eV/atom: 0.363

a b c (Å): 2.971 4.085 5.758
angles (deg): 90.00 102.93 90.00
Space group P2/m (No. 10)
Asymmetric unit:
Sr 0.000 0.000 0.000 [1 per cell]
Ni 0.301 0.500 0.665 [2 per cell]
Ni 0.500 0.000 0.500 [1 per cell]

***

No. 6
# SrNi

A relaxed structure of SrNi (PBE, Alexandria).

Output
Crystal system: cubic
DOS at the Fermi energy, states/eV/atom: 0.805
Formation enthalpy at 0 K, eV/atom: 0.353

a b c (Å): 8.568 8.568 8.568
angles (deg): 90.00 90.00 90.00
Space group I-43m (No. 217)
Asymmetric unit:
Sr 0.211 0.211 0.789 [8 per cell]
Ni 0.098 0.098 0.098 [8 per cell]

***

No. 7
# SrNi3

A relaxed structure of SrNi3 (PBE, Alexandria).

Output
Crystal system: hexagonal
DOS at the Fermi energy, states/eV/atom: 1.515
Formation enthalpy at 0 K, eV/atom: 0.537

a b c (Å): 3.6365 3.6365 6.6885
angles (deg): 90.00 90.00 120.00
Space group P-6m2 (No. 187)
Asymmetric unit:
Sr 0.0000 0.0000 0.0000 [1 per cell]
Ni 0.0000 0.0000 0.5000 [1 per cell]
Ni 0.3333 0.6667 0.3280 [2 per cell]

***

No. 8
# SrNi3

A relaxed structure of SrNi3 (PBE, Alexandria).

Output
Crystal system: orthorhombic
DOS at the Fermi energy, states/eV/atom: 1.360
Formation enthalpy at 0 K, eV/atom: 0.077

a b c (Å): 7.299 6.505 5.714
angles (deg): 90.00 90.00 90.00
Space group Pnma (No. 62)
Asymmetric unit:
Sr 0.024 0.250 0.122 [4 per cell]
Ni 0.139 0.750 0.348 [4 per cell]
Ni 0.146 0.067 0.580 [8 per cell]

***

No. 9
# SrNi4

A relaxed structure of SrNi4 (PBE, Alexandria).

Output
Crystal system: tetragonal
DOS at the Fermi energy, states/eV/atom: 1.741
Formation enthalpy at 0 K, eV/atom: 0.138

a b c (Å): 4.082 4.082 9.653
angles (deg): 90.00 90.00 90.00
Space group I4/mmm (No. 139)
Asymmetric unit:
Sr 0.000 0.000 0.000 [2 per cell]
Ni 0.000 0.000 0.377 [4 per cell]
Ni 0.000 0.500 0.250 [4 per cell]

***

No. 10
# SrNi2

A relaxed structure of SrNi2 (PBE, Alexandria).

Output
Crystal system: orthorhombic
DOS at the Fermi energy, states/eV/atom: 1.327
Formation enthalpy at 0 K, eV/atom: 0.236

a b c (Å): 3.314 3.340 10.228
angles (deg): 90.00 90.00 90.00
Space group Immm (No. 71)
Asymmetric unit:
Sr 0.000 0.000 0.000 [2 per cell]
Ni 0.000 0.000 0.280 [4 per cell]

***

No. 11
# SrNi

A relaxed structure of SrNi (PBE, Alexandria).

Output
Crystal system: tetragonal
DOS at the Fermi energy, states/eV/atom: 0.923
Formation enthalpy at 0 K, eV/atom: 0.044

a b c (Å): 10.909 10.909 4.164
angles (deg): 90.00 90.00 90.00
Space group I4/mmm (No. 139)
Asymmetric unit:
Sr 0.000 0.261 0.000 [8 per cell]
Ni 0.223 0.223 0.500 [8 per cell]

***

No. 12
# SrNi4

A relaxed structure of SrNi4 (PBE, Alexandria).

Output
Crystal system: cubic
DOS at the Fermi energy, states/eV/atom: 2.611
Formation enthalpy at 0 K, eV/atom: 2.050

a b c (Å): 4.658 4.658 4.658
angles (deg): 90.00 90.00 90.00
Space group Pm-3m (No. 221)
Asymmetric unit:
Sr 0.000 0.000 0.000 [1 per cell]
Ni 0.000 0.000 0.500 [3 per cell]
Ni 0.500 0.500 0.500 [1 per cell]